# 1
# AlIn2Cl | Alexandria | GGA-PBE | relaxed
data_AlIn2Cl
_chemical_formula_sum 'Al2 In4 Cl2'
_cell_length_a 3.2951
_cell_length_b 5.6936
_cell_length_c 10.5820
_cell_angle_alpha 90.00
_cell_angle_beta 90.00
_cell_angle_gamma 90.00
_symmetry_space_group_name_H-M 'I m m 2'
_symmetry_Int_Tables_number 44
_symmetry_space_group_name_Hall 'I 2 -2'
loop_
_atom_site_label
_atom_site_type_symbol
_atom_site_fract_x
_atom_site_fract_y
_atom_site_fract_z
_atom_site_occupancy
Al1 Al 0.0000 0.0000 0.0000 1
In1 In 0.0000 0.0000 0.5083 1
In2 In 0.0000 0.5000 0.7337 1
Cl1 Cl 0.0000 0.5000 0.3162 1
# distance to the lowest polymorph of the same formula: 7.87 kJ/mol of atoms
# D(E_F): 2.9 states/eV/cell
# ΔE_f (raw): -152 meV/atom

# 2
# CoOsAu2 | Alexandria | GGA-PBE | relaxed
data_CoOsAu2
_chemical_formula_sum 'Co2 Os2 Au4'
_cell_length_a 5.6805
_cell_length_b 8.1011
_cell_length_c 2.6905
_cell_angle_alpha 90.00
_cell_angle_beta 90.00
_cell_angle_gamma 90.00
_symmetry_space_group_name_H-M 'C m m m'
_symmetry_Int_Tables_number 65
_symmetry_space_group_name_Hall '-C 2 2'
loop_
_atom_site_label
_atom_site_type_symbol
_atom_site_fract_x
_atom_site_fract_y
_atom_site_fract_z
_atom_site_occupancy
Co1 Co 0.0000 0.0000 0.0000 1
Os1 Os 0.0000 0.5000 0.0000 1
Au1 Au 0.2500 0.2500 0.5000 1
# distance to the lowest polymorph of the same formula: 25.69 kJ/mol of atoms
# D(E_F): 6.1 states/eV/cell

# 3
# BaCoHg2 | Alexandria | GGA-PBE | relaxed
data_BaCoHg2
_chemical_formula_sum 'Ba2 Co2 Hg4'
_cell_length_a 8.3169
_cell_length_b 4.5693
_cell_length_c 6.4198
_cell_angle_alpha 90.00
_cell_angle_beta 115.09
_cell_angle_gamma 90.00
_symmetry_space_group_name_H-M 'C 1 m 1'
_symmetry_Int_Tables_number 8
_symmetry_space_group_name_Hall 'C -2y'
loop_
_atom_site_label
_atom_site_type_symbol
_atom_site_fract_x
_atom_site_fract_y
_atom_site_fract_z
_atom_site_occupancy
Ba1 Ba 0.0000 0.0000 0.0000 1
Co1 Co 0.2918 0.5000 0.4292 1
Hg1 Hg 0.1940 0.0000 0.6062 1
Hg2 Hg 0.4497 0.0000 0.3840 1
# E: -2.36 eV/atom
# D(E_F): 12.2 states/eV/cell

# 4
# PmPuN2 | Alexandria | GGA-PBE | relaxed
data_PmPuN2
_chemical_formula_sum 'Pm3 Pu3 N6'
_cell_length_a 3.5406
_cell_length_b 3.5406
_cell_length_c 17.2737
_cell_angle_alpha 90.00
_cell_angle_beta 90.00
_cell_angle_gamma 120.00
_symmetry_space_group_name_H-M 'R -3 m'
_symmetry_Int_Tables_number 166
_symmetry_space_group_name_Hall '-R 3 2"'
loop_
_atom_site_label
_atom_site_type_symbol
_atom_site_fract_x
_atom_site_fract_y
_atom_site_fract_z
_atom_site_occupancy
Pm1 Pm 0.0000 0.0000 0.0000 1
Pu1 Pu 0.0000 0.0000 0.5000 1
N1 N 0.0000 0.0000 0.2424 1
# distance to the lowest polymorph of the same formula: 0.00 kJ/mol of atoms
# D(E_F): 19.0 states/eV/cell
# ΔE_f (raw): -1362 meV/atom

# 5
# Mg2HgPtF | Alexandria | GGA-PBE | relaxed
data_Mg2HgPtF
_chemical_formula_sum 'Mg2 Hg1 Pt1 F1'
_cell_length_a 4.0792
_cell_length_b 4.0792
_cell_length_c 5.2491
_cell_angle_alpha 90.00
_cell_angle_beta 90.00
_cell_angle_gamma 90.00
_symmetry_space_group_name_H-M 'P 4/m m m'
_symmetry_Int_Tables_number 123
_symmetry_space_group_name_Hall '-P 4 2'
loop_
_atom_site_label
_atom_site_type_symbol
_atom_site_fract_x
_atom_site_fract_y
_atom_site_fract_z
_atom_site_occupancy
Mg1 Mg 0.0000 0.5000 0.0000 1
Hg1 Hg 0.0000 0.0000 0.5000 1
Pt1 Pt 0.5000 0.5000 0.5000 1
F1 F 0.5000 0.5000 0.0000 1
# D(E_F): 1.4 states/eV/cell
# ΔE_f (raw): -720 meV/atom

# 6
# ThTiPb | Alexandria | GGA-PBE | relaxed
data_ThTiPb
_chemical_formula_sum 'Th1 Ti1 Pb1'
_cell_length_a 5.0000
_cell_length_b 5.0000
_cell_length_c 3.7191
_cell_angle_alpha 90.00
_cell_angle_beta 90.00
_cell_angle_gamma 120.00
_symmetry_space_group_name_H-M 'P -6 m 2'
_symmetry_Int_Tables_number 187
_symmetry_space_group_name_Hall 'P -6 2'
loop_
_atom_site_label
_atom_site_type_symbol
_atom_site_fract_x
_atom_site_fract_y
_atom_site_fract_z
_atom_site_occupancy
Th1 Th 0.0000 0.0000 0.0000 1
Ti1 Ti 0.6667 0.3333 0.5000 1
Pb1 Pb 0.3333 0.6667 0.5000 1
# distance to the lowest polymorph of the same formula: 0.00 kJ/mol of atoms
# D(E_F): 5.1 states/eV/cell

# 7
# ScHg3Mo | Alexandria | GGA-PBE | relaxed
data_ScHg3Mo
_chemical_formula_sum 'Sc1 Hg3 Mo1'
_cell_length_a 5.1933
_cell_length_b 5.1933
_cell_length_c 5.1933
_cell_angle_alpha 90.00
_cell_angle_beta 90.00
_cell_angle_gamma 90.00
_symmetry_space_group_name_H-M 'P m -3 m'
_symmetry_Int_Tables_number 221
_symmetry_space_group_name_Hall '-P 4 2 3'
loop_
_atom_site_label
_atom_site_type_symbol
_atom_site_fract_x
_atom_site_fract_y
_atom_site_fract_z
_atom_site_occupancy
Sc1 Sc 0.0000 0.0000 0.0000 1
Hg1 Hg 0.0000 0.5000 0.5000 1
Mo1 Mo 0.5000 0.5000 0.5000 1
# distance to the lowest polymorph of the same formula: 0.00 kJ/mol of atoms
# D(E_F): 5.6 states/eV/cell

# 8
# Cd2AuSe | Alexandria | GGA-PBE | relaxed
data_Cd2AuSe
_chemical_formula_sum 'Cd6 Au3 Se3'
_cell_length_a 4.1084
_cell_length_b 4.1084
_cell_length_c 19.4824
_cell_angle_alpha 90.00
_cell_angle_beta 90.00
_cell_angle_gamma 120.00
_symmetry_space_group_name_H-M 'R 3 m'
_symmetry_Int_Tables_number 160
_symmetry_space_group_name_Hall 'R 3 -2"'
loop_
_atom_site_label
_atom_site_type_symbol
_atom_site_fract_x
_atom_site_fract_y
_atom_site_fract_z
_atom_site_occupancy
Cd1 Cd 0.0000 0.0000 0.0000 1
Cd2 Cd 0.0000 0.0000 0.2325 1
Au1 Au 0.0000 0.0000 0.7428 1
Se1 Se 0.0000 0.0000 0.4884 1
# D(E_F): 2.8 states/eV/cell
# ΔE_f (raw): -68 meV/atom